{
  "formula": "Ba2ScPtN",
  "functional": "PBE-GGA",
  "state": "relaxed",
  "raw_formation_energy_kj_per_mol_atoms": 98.07,
  "m_tot_mub_per_atom": 0.12,
  "total_energy_ev_per_atom": -3.8922,
  "mass_density_g_cm3": 4.782,
  "lattice_angstrom": [[6.2661, 0.0000, 0.0000], [0.0000, 4.6761, 0.0000], [0.0000, 0.0000, 6.2661]],
  "species": ["Pt", "Ba", "Ba", "Sc", "N"],
  "frac_coords": [[0.0000, 0.5000, 0.0000], [0.5000, 0.0000, 0.0000], [0.0000, 0.0000, 0.5000], [0.0000, 0.0000, 0.0000], [0.5000, 0.5000, 0.5000]]
}